CsSrLiSi2: optimized geometry, PBE.

Structure (extended XYZ):
```
5
Lattice="-0.266 -4.509 3.688 4.426 1.482 2.130 -2.938 3.292 3.813" Properties=species:S:1:pos:R:3 pbc="T T T"
Sr 0.611 0.132 4.816
Si -1.469 1.646 1.907
Si -0.133 -2.255 1.844
Cs 0.000 0.000 0.000
Li 2.213 0.741 1.065
```

Computed properties:
Formation energy from raw total energies   1060 meV per atom
Crystal system   tetragonal
E_tot   -0.0735 hartree per atom
DOS(E_F)   0.762 states/eV/atom
Symmetry   No. 123


Cs2LiSiTe4: optimized geometry, PBE.

Structure (extended XYZ):
```
16
Lattice="6.661 0.000 0.000 3.331 7.745 0.000 3.331 0.000 12.979" Properties=species:S:1:pos:R:3 pbc="T T T"
Li 0.000 0.000 0.000
Li 8.327 3.872 6.490
Te 5.207 6.274 1.462
Te 11.446 6.274 11.517
Te 5.207 1.471 11.517
Te 10.203 5.344 7.951
Te 6.450 2.401 7.951
Te 4.785 1.471 1.462
Te 6.450 5.344 5.028
Te 3.542 2.401 5.028
Cs 6.661 0.000 4.717
Cs 8.327 3.872 1.773
Cs 3.331 0.000 8.262
Cs 8.327 3.872 11.206
Si 4.996 3.872 6.490
Si 3.331 0.000 0.000
```

Computed properties:
Formation energy from raw total energies   -654 meV per atom
Crystal system   orthorhombic
E_tot   -0.1233 hartree per atom
DOS(E_F)   0.846 states/eV/atom
Symmetry   No. 70


CsLiSm2Te4: optimized geometry, PBE.

Structure (extended XYZ):
```
16
Lattice="-0.877 4.113 1.865 -6.761 -4.448 0.957 5.451 -5.245 14.130" Properties=species:S:1:pos:R:3 pbc="T T T"
Te -1.995 -5.955 12.194
Te -0.568 -2.260 10.390
Te 0.000 0.000 0.000
Te -3.192 -1.806 2.481
Te -0.192 0.374 4.758
Te 1.005 -3.775 14.471
Te 2.725 -2.623 7.065
Te -1.619 -3.320 6.562
Sm -2.223 -4.701 9.323
Sm -2.018 1.097 2.306
Sm -0.169 -6.677 14.646
Sm 0.036 -0.879 7.630
Li -1.119 -3.462 12.782
Li -1.068 -2.119 4.170
Cs -4.698 -1.123 5.941
Cs 2.511 -4.458 11.012
```

Computed properties:
Formation energy from raw total energies   -1345 meV per atom
Crystal system   orthorhombic
E_tot   -0.1632 hartree per atom
Symmetry   No. 63